Li3Ho3SiGe2, optimized geometry, DFT PBE; raw total energy = -4.462 eV/atom
1.0
7.006 0.000 0.000
-3.503 6.067 0.000
0.000 0.000 4.220
Li Ho Si Ge
3 3 1 2
Direct
0.000 0.769 0.000
0.231 0.231 0.000
0.769 0.000 0.000
0.000 0.421 0.500
0.421 0.000 0.500
0.579 0.579 0.500
0.000 0.000 0.500
0.333 0.667 0.000
0.667 0.333 0.000

---

Li3Ho3Si2Ge, optimized geometry, DFT PBE; raw total energy = -4.523 eV/atom
1.0
6.979 0.000 0.000
-3.489 6.044 0.000
0.000 0.000 4.212
Li Ho Si Ge
3 3 2 1
Direct
0.000 0.765 0.000
0.235 0.235 0.000
0.765 0.000 0.000
0.000 0.427 0.500
0.427 0.000 0.500
0.573 0.573 0.500
0.333 0.667 0.000
0.667 0.333 0.000
0.000 0.000 0.500

---

HoLuGe, optimized geometry, DFT PBE; offset from the most stable computed form = 0.00 kJ/mol of atoms
1.0
0.000 3.396 3.396
3.396 0.000 3.396
3.396 3.396 0.000
Ho Lu Ge
1 1 1
Direct
0.000 0.000 0.000
0.500 0.500 0.500
0.250 0.250 0.250

---

Ho2LuGe4Pd4, optimized geometry, DFT PBE; raw total energy = -5.690 eV/atom
1.0
-2.083 3.540 6.977
2.083 -3.540 6.977
2.083 3.540 -6.977
Ho Lu Ge Pd
2 1 4 4
Direct
0.126 0.126 0.000
0.874 0.874 0.000
0.500 0.000 0.500
0.189 0.500 0.689
0.282 0.782 0.500
0.718 0.218 0.500
0.811 0.500 0.311
0.125 0.326 0.800
0.474 0.674 0.800
0.526 0.326 0.200
0.875 0.674 0.200

---

HoLuGe2Pt, optimized geometry, DFT PBE; raw total energy = -5.873 eV/atom
1.0
5.170 -2.163 0.000
5.170 2.163 0.000
-4.662 0.000 9.146
Ho Lu Ge Pt
2 2 4 2
Direct
0.188 0.188 0.113
0.812 0.812 0.887
0.010 0.010 0.329
0.990 0.990 0.671
0.358 0.358 0.447
0.474 0.474 0.114
0.526 0.526 0.886
0.642 0.642 0.553
0.271 0.271 0.664
0.729 0.729 0.336

---

HoLuZn2Ge2, optimized geometry, DFT PBE; offset from the most stable computed form = 0.00 kJ/mol of atoms
1.0
4.211 0.000 0.000
-2.106 3.647 0.000
0.000 0.000 15.337
Ho Lu Zn Ge
2 2 4 4
Direct
0.000 0.000 0.000
0.000 0.000 0.500
0.000 0.000 0.250
0.000 0.000 0.750
0.333 0.667 0.151
0.333 0.667 0.349
0.667 0.333 0.651
0.667 0.333 0.849
0.333 0.667 0.614
0.333 0.667 0.886
0.667 0.333 0.114
0.667 0.333 0.386

---

HoMgGe, optimized geometry, DFT PBE; raw total energy = -4.037 eV/atom
1.0
0.000 3.312 3.312
3.312 0.000 3.312
3.312 3.312 0.000
Ho Mg Ge
1 1 1
Direct
0.000 0.000 0.000
0.500 0.500 0.500
0.250 0.250 0.250

---

TbHoMg2Ge2, optimized geometry, DFT PBE; raw total energy = -4.250 eV/atom
1.0
-2.092 2.092 7.640
2.092 -2.092 7.640
2.092 2.092 -7.640
Tb Ho Mg Ge
1 1 2 2
Direct
0.000 0.000 0.000
0.661 0.661 0.000
0.330 0.830 0.500
0.830 0.330 0.500
0.194 0.194 0.000
0.466 0.466 0.000

---

HoTmMg2Ge2, optimized geometry, DFT PBE; raw total energy = -4.209 eV/atom
1.0
-2.077 2.077 7.593
2.077 -2.077 7.593
2.077 2.077 -7.593
Ho Tm Mg Ge
1 1 2 2
Direct
0.000 0.000 0.000
0.659 0.659 0.000
0.329 0.829 0.500
0.829 0.329 0.500
0.193 0.193 0.000
0.466 0.466 0.000

---

NaHoGe, optimized geometry, DFT PBE; raw total energy = -3.840 eV/atom
1.0
0.000 3.434 3.434
3.434 0.000 3.434
3.434 3.434 0.000
Na Ho Ge
1 1 1
Direct
0.000 0.000 0.000
0.500 0.500 0.500
0.750 0.750 0.750

---

NaHoGe, optimized geometry, DFT PBE; raw total energy = -3.450 eV/atom
1.0
0.000 3.436 3.436
3.436 0.000 3.436
3.436 3.436 0.000
Na Ho Ge
1 1 1
Direct
0.000 0.000 0.000
0.750 0.750 0.750
0.500 0.500 0.500

---

NaHoGeSe3, optimized geometry, DFT PBE; raw total energy = -4.479 eV/atom
1.0
2.167 -6.891 0.000
2.167 6.891 0.000
0.000 0.000 11.145
Na Ho Ge Se
2 2 2 6
Direct
0.246 0.754 0.750
0.754 0.246 0.250
0.500 0.500 0.000
0.500 0.500 0.500
0.031 0.969 0.250
0.969 0.031 0.750
0.136 0.864 0.051
0.136 0.864 0.449
0.417 0.583 0.250
0.583 0.417 0.750
0.864 0.136 0.551
0.864 0.136 0.949

---

Theoretical density across the listed records, respectively: 6.38 6.02 8.75 9.85 11.04 8.69 5.98 6.43 6.69 5.34 5.33 4.96 Mg/m³.